Entry 1:
A relaxed DyTlCuNi crystal. Source: Alexandria, functional PBE.

## Properties
- density (g/cm³) = 11.15
- DFT formation energy (meV/atom) = -165
- space group = No. 216

Cell lengths 4.6881, 4.6881, 4.6881 Å; angles 60.00, 60.00, 60.00 degrees
Positions (direct):
Cu  0.2500  0.2500  0.2500
Dy  0.0000  0.0000  0.0000
Tl  0.5000  0.5000  0.5000
Ni  0.7500  0.7500  0.7500


Entry 2:
A relaxed ScRe2CO crystal. Source: Alexandria, functional PBE.

## Properties
- formation energy without anion corrections (meV per atom) = 335
- density (g/cm³) = 9.97
- space group = No. 123

Cell lengths 3.9164, 4.8365, 3.9164 Å; angles 90.00, 90.00, 90.00 degrees
Site moments in Bohr magnetons follow the coordinates.
Positions (direct):
O  0.5000  0.5000  0.5000  0.41
C  0.0000  0.0000  0.0000  0.00
Re  0.5000  0.0000  0.0000  0.14
Re  0.0000  0.0000  0.5000  0.16
Sc  0.0000  0.5000  0.0000  -0.01


Entry 3:
A relaxed NaTl3Pb4 crystal. Source: Alexandria, functional PBE.

## Properties
- density (g/cm³) = 10.01
- DFT formation energy (meV/atom) = -48
- space group = No. 31

Cell lengths 7.2148, 7.1242, 9.4589 Å; angles 90.00, 90.00, 90.00 degrees
Positions (direct):
Na  0.9397  0.4996  0.0000
Na  0.4397  0.5004  0.5000
Pb  0.1893  0.2419  0.2505
Pb  0.9397  0.0001  0.0000
Pb  0.6893  0.7581  0.2495
Pb  0.1893  0.2419  0.7495
Pb  0.6893  0.7581  0.7505
Pb  0.4394  0.5000  0.0000
Pb  0.4397  0.9999  0.5000
Pb  0.9394  0.5000  0.5000
Tl  0.6895  0.2541  0.7502
Tl  0.6895  0.2541  0.2498
Tl  0.9389  0.9997  0.5000
Tl  0.1895  0.7459  0.2502
Tl  0.4389  0.0003  0.0000
Tl  0.1895  0.7459  0.7498


Entry 4:
A relaxed Cr2HN crystal. Source: Alexandria, functional PBE.

## Properties
- E (eV per atom) = -8.0543
- density (g/cm³) = 6.67
- space group = No. 166

Cell lengths 2.7385, 2.7385, 4.8278 Å; angles 73.52, 73.52, 60.00 degrees
Positions (direct):
N  0.5000  0.5000  0.5000
Cr  0.7441  0.7441  0.7678
Cr  0.2559  0.2559  0.2322
H  0.0000  0.0000  0.0000


Entry 5:
A relaxed LiV2Ru4 crystal. Source: Alexandria, functional PBE.

## Properties
- density (g/cm³) = 8.63
- DFT formation energy (meV/atom) = 90
- space group = No. 166

Cell lengths 4.1491, 4.1491, 7.0424 Å; angles 72.87, 72.87, 60.00 degrees
Positions (direct):
Li  0.0000  0.0000  0.0000
Ru  0.1314  0.1314  0.6058
Ru  0.8686  0.8686  0.3942
Ru  0.3799  0.3799  0.8603
Ru  0.6201  0.6201  0.1397
V  0.7461  0.7461  0.7618
V  0.2539  0.2539  0.2382


Entry 6:
A relaxed LaYIn2 crystal. Source: Alexandria, functional PBE.

## Properties
- density (g/cm³) = 6.24
- DFT formation energy (meV/atom) = -115
- space group = No. 160

Cell lengths 11.1424, 11.1424, 11.1424 Å; angles 18.50, 18.50, 18.50 degrees
Positions (direct):
Y  0.7453  0.7453  0.7453
La  0.5010  0.5010  0.5010
In  0.9981  0.9981  0.9981
In  0.2556  0.2556  0.2556


Entry 7:
A relaxed SrTa2Mo crystal. Source: Alexandria, functional PBE.

## Properties
- density (g/cm³) = 11.19
- DFT formation energy (meV/atom) = 1097
- space group = No. 47

Cell lengths 3.2377, 5.0251, 4.9763 Å; angles 90.00, 90.00, 90.00 degrees
Positions (direct):
Ta  0.5000  0.5000  0.0000
Ta  0.0000  0.0000  0.0000
Mo  0.5000  0.0000  0.5000
Sr  0.0000  0.5000  0.5000


Entry 8:
A relaxed Ir2Se crystal. Source: Alexandria, functional PBE.

## Properties
- formation energy without anion corrections (meV per atom) = 415
- density (g/cm³) = 15.22
- space group = No. 63

Cell lengths 7.9491, 7.9491, 4.4687 Å; angles 90.00, 90.00, 159.02 degrees
Positions (direct):
Se  0.9111  0.0889  0.2500
Se  0.0889  0.9111  0.7500
Ir  0.7274  0.2726  0.7500
Ir  0.6242  0.3758  0.2500
Ir  0.2726  0.7274  0.2500
Ir  0.3758  0.6242  0.7500


Entry 9:
A relaxed Ce6CoHg3 crystal. Source: Alexandria, functional PBE.

## Properties
- density (g/cm³) = 9.41
- DFT formation energy (meV/atom) = -109
- space group = No. 12

Cell lengths 8.1528, 6.0005, 6.0005 Å; angles 68.11, 78.90, 78.90 degrees
Site moments in Bohr magnetons follow the coordinates.
Positions (direct):
Ce  0.6279  0.3290  0.9049  0.53
Ce  0.8665  0.3512  0.3512  0.92
Ce  0.6279  0.9049  0.3290  0.53
Ce  0.3721  0.6710  0.0951  0.53
Ce  0.1335  0.6488  0.6488  0.92
Ce  0.3721  0.0951  0.6710  0.53
Hg  0.7555  0.8161  0.8161  0.00
Hg  0.0000  0.0000  0.0000  0.00
Hg  0.2445  0.1839  0.1839  0.00
Co  0.5000  0.5000  0.5000  -0.17


Entry 10:
A relaxed ZrAl2Pt crystal. Source: Alexandria, functional PBE.

## Properties
- density (g/cm³) = 8.20
- DFT formation energy (meV/atom) = -682
- space group = No. 99

Cell lengths 3.2567, 3.2568, 6.4981 Å; angles 90.00, 90.00, 90.00 degrees
Positions (direct):
Pt  0.0000  0.0000  0.4527
Al  0.5000  0.5000  0.2703
Al  0.0000  0.0000  0.0276
Zr  0.5000  0.5000  0.7494


Entry 11:
A relaxed LaPmEr2 crystal. Source: Alexandria, functional PBE.

## Properties
- density (g/cm³) = 7.73
- DFT formation energy (meV/atom) = 28
- space group = No. 11

Cell lengths 3.6438, 8.5535, 12.5576 Å; angles 137.25, 90.00, 90.00 degrees
Positions (direct):
Er  0.9105  0.7007  0.4082
Er  0.4105  0.2017  0.0766
Er  0.4105  0.2037  0.5736
Er  0.9105  0.7028  0.9052
Pm  0.9105  0.2064  0.3272
Pm  0.4105  0.6981  0.6546
La  0.9105  0.2013  0.8262
La  0.4105  0.7032  0.1555


Entry 12:
A relaxed NdDyHoAg crystal. Source: Alexandria, functional PBE.

## Properties
- density (g/cm³) = 8.37
- DFT formation energy (meV/atom) = -136
- space group = No. 99

Cell lengths 3.6164, 3.6164, 8.7897 Å; angles 90.00, 90.00, 90.00 degrees
Positions (direct):
Dy  0.5000  0.5000  0.7791
Ag  0.0000  0.0000  0.5694
Ho  0.5000  0.5000  0.3641
Nd  0.0000  0.0000  0.0721


Entry 13:
A relaxed TbPmOsRh crystal. Source: Alexandria, functional PBE.

## Properties
- density (g/cm³) = 11.87
- DFT formation energy (meV/atom) = -340
- space group = No. 216

Cell lengths 4.9072, 4.9072, 4.9072 Å; angles 60.00, 60.00, 60.00 degrees
Positions (direct):
Os  0.5000  0.5000  0.5000
Tb  0.2500  0.2500  0.2500
Rh  0.0000  0.0000  0.0000
Pm  0.7500  0.7500  0.7500


Entry 14:
A relaxed Y3Mg2Al crystal. Source: Alexandria, functional PBE.

## Properties
- density (g/cm³) = 3.66
- DFT formation energy (meV/atom) = -229
- space group = No. 164

Cell lengths 5.2651, 5.2651, 6.4686 Å; angles 90.00, 90.00, 120.00 degrees
Positions (direct):
Y  0.6667  0.3333  0.8414
Y  0.3333  0.6667  0.1586
Y  0.0000  0.0000  0.5000
Mg  0.3333  0.6667  0.6566
Mg  0.6667  0.3333  0.3434
Al  0.0000  0.0000  0.0000


Entry 15:
A relaxed TiAlI2N crystal. Source: Alexandria, functional PBE.

## Properties
- formation energy without anion corrections (meV per atom) = -94
- density (g/cm³) = 4.46
- space group = No. 123

Cell lengths 5.7962, 5.7962, 3.7996 Å; angles 90.00, 90.00, 90.00 degrees
Positions (direct):
Al  0.5000  0.5000  0.5000
I  0.5000  0.0000  0.0000
I  0.0000  0.5000  0.0000
N  0.0000  0.0000  0.5000
Ti  0.0000  0.0000  0.0000


Entry 16:
A relaxed Cs2UCu2Se4 crystal. Source: Alexandria, functional PBE.

## Properties
- formation energy without anion corrections (meV per atom) = -943
- density (g/cm³) = 6.12
- space group = No. 12

Cell lengths 4.1918, 8.4748, 7.8923 Å; angles 107.43, 105.40, 90.00 degrees
Site moments in Bohr magnetons follow the coordinates.
Positions (direct):
Cs  0.1392  0.5671  0.2785  0.00
Cs  0.8608  0.4329  0.7215  0.00
Se  0.5200  0.7803  0.0400  -0.05
Se  0.8052  0.8474  0.6103  -0.04
Se  0.1948  0.1526  0.3897  -0.04
Se  0.4800  0.2197  0.9600  -0.05
Cu  0.3235  0.0168  0.6470  -0.03
Cu  0.6765  0.9832  0.3530  -0.03
U  0.0000  0.0000  0.0000  2.16


Entry 17:
A relaxed ZrTiN crystal. Source: Alexandria, functional PBE.

## Properties
- formation energy without anion corrections (meV per atom) = -1200
- density (g/cm³) = 5.83
- space group = No. 12

Cell lengths 3.1923, 6.2520, 5.7269 Å; angles 53.15, 73.82, 75.21 degrees
Positions (direct):
N  0.2488  0.7400  0.7624
N  0.7512  0.2600  0.2376
Zr  0.1204  0.1823  0.5769
Zr  0.8796  0.8177  0.4231
Ti  0.3602  0.3302  0.9493
Ti  0.6398  0.6698  0.0507


Entry 18:
A relaxed SrRuC crystal. Source: Alexandria, functional PBE.

## Properties
- density (g/cm³) = 5.20
- DFT formation energy (meV/atom) = 105
- space group = No. 129

Cell lengths 3.8290, 3.8290, 8.7503 Å; angles 90.00, 90.00, 90.00 degrees
Positions (direct):
C  0.5000  0.0000  0.5956
C  0.0000  0.5000  0.4044
Ru  0.5000  0.5000  0.5000
Ru  0.0000  0.0000  0.5000
Sr  0.5000  0.0000  0.2080
Sr  0.0000  0.5000  0.7920


Entry 19:
A relaxed Tm2AlSb crystal. Source: Alexandria, functional PBE.

## Properties
- formation energy without anion corrections (meV per atom) = -472
- density (g/cm³) = 7.29
- space group = No. 166

Cell lengths 4.0643, 4.0643, 8.0994 Å; angles 75.47, 75.47, 60.00 degrees
Positions (direct):
Tm  0.2466  0.2466  0.2601
Tm  0.7534  0.7534  0.7399
Al  0.0000  0.0000  0.0000
Sb  0.5000  0.5000  0.5000


Entry 20:
A relaxed Tl2Bi5O12 crystal. Source: Alexandria, functional PBE.

## Properties
- formation energy without anion corrections (meV per atom) = -905
- density (g/cm³) = 9.26
- space group = No. 12

Cell lengths 6.6960, 7.0844, 7.3569 Å; angles 104.44, 90.00, 118.20 degrees
Positions (direct):
O  0.4908  0.9817  0.2047
O  0.3484  0.2801  0.5291
O  0.1144  0.6284  0.8881
O  0.8856  0.3716  0.1119
O  0.5092  0.0183  0.7953
O  0.9317  0.2801  0.5291
O  0.6516  0.7199  0.4709
O  0.9622  0.9243  0.1867
O  0.0378  0.0757  0.8133
O  0.4860  0.3716  0.1119
O  0.5140  0.6284  0.8881
O  0.0683  0.7199  0.4709
Tl  0.2402  0.0000  0.0000
Tl  0.7598  0.0000  0.0000
Bi  0.0000  0.0000  0.5000
Bi  0.3030  0.6059  0.1352
Bi  0.6965  0.3930  0.3696
Bi  0.3035  0.6070  0.6304
Bi  0.6970  0.3941  0.8648


Entry 21:
A relaxed ScIn2TeW crystal. Source: Alexandria, functional PBE.

## Properties
- formation energy without anion corrections (meV per atom) = 585
- density (g/cm³) = 6.66
- space group = No. 123

Cell lengths 5.3831, 5.0386, 5.3831 Å; angles 90.00, 90.00, 90.00 degrees
Site moments in Bohr magnetons follow the coordinates.
Positions (direct):
Te  0.5000  0.5000  0.5000  0.13
In  0.5000  0.0000  0.0000  0.02
In  0.0000  0.0000  0.5000  0.03
W  0.0000  0.0000  0.0000  0.75
Sc  0.0000  0.5000  0.0000  -0.02


Entry 22:
A relaxed Pu3Pa2Ge3 crystal. Source: Alexandria, functional PBE.

## Properties
- density (g/cm³) = 13.14
- DFT formation energy (meV/atom) = -294
- space group = No. 63

Cell lengths 4.0654, 5.5504, 16.9932 Å; angles 90.00, 90.00, 111.48 degrees
Site moments in Bohr magnetons follow the coordinates.
Positions (direct):
Pa  0.2083  0.4166  0.3601  -0.09
Pa  0.2083  0.4166  0.1399  -0.09
Pa  0.7917  0.5834  0.8601  -0.09
Pa  0.7917  0.5834  0.6399  -0.09
Pu  0.6354  0.2708  0.0448  -4.95
Pu  0.4894  0.9789  0.7500  5.39
Pu  0.5106  0.0211  0.2500  5.39
Pu  0.6354  0.2708  0.4552  -4.95
Pu  0.3646  0.7292  0.9552  -4.95
Pu  0.3646  0.7292  0.5448  -4.95
Ge  0.9256  0.8512  0.0953  0.04
Ge  0.0744  0.1488  0.5953  0.04
Ge  0.0744  0.1488  0.9047  0.04
Ge  0.9256  0.8512  0.4047  0.04
Ge  0.1936  0.3872  0.7500  -0.02
Ge  0.8064  0.6128  0.2500  -0.02


Entry 23:
A relaxed MoW2Br crystal. Source: Alexandria, functional PBE.

## Properties
- formation energy without anion corrections (meV per atom) = 664
- density (g/cm³) = 12.99
- space group = No. 35

Cell lengths 2.8857, 2.8857, 9.0559 Å; angles 90.00, 90.00, 112.85 degrees
Positions (direct):
Mo  0.5000  0.5000  0.7642
W  0.0000  0.0000  0.9990
W  0.5000  0.5000  0.2334
Br  0.0000  0.0000  0.5035


Entry 24:
A relaxed Cu8SiS6 crystal. Source: Alexandria, functional PBE.

## Properties
- formation energy without anion corrections (meV per atom) = -243
- density (g/cm³) = 5.15
- space group = No. 31

Cell lengths 6.9022, 7.0326, 9.6918 Å; angles 90.00, 90.00, 90.00 degrees
Positions (direct):
Cu  0.8449  0.2128  0.1501
Cu  0.7243  0.5000  0.9761
Cu  0.2757  0.0000  0.4761
Cu  0.1551  0.2872  0.6501
Cu  0.1119  0.2918  0.3565
Cu  0.4753  0.7962  0.2591
Cu  0.1551  0.7128  0.6501
Cu  0.5247  0.2962  0.7591
Cu  0.1119  0.7082  0.3565
Cu  0.4753  0.2038  0.2591
Cu  0.8449  0.7872  0.1501
Cu  0.3940  0.0000  0.0320
Cu  0.6060  0.5000  0.5320
Cu  0.5247  0.7038  0.7591
Cu  0.8881  0.7918  0.8565
Cu  0.8881  0.2082  0.8565
S  0.7545  0.7461  0.3917
S  0.2141  0.0000  0.2454
S  0.5058  0.0000  0.6435
S  0.7280  0.0000  0.0016
S  0.4942  0.5000  0.1435
S  0.7545  0.2539  0.3917
S  0.0056  0.5000  0.1470
S  0.2720  0.5000  0.5016
S  0.9944  0.0000  0.6470
S  0.2455  0.7539  0.8917
S  0.2455  0.2461  0.8917
S  0.7859  0.5000  0.7454
Si  0.2508  0.5000  0.0106
Si  0.7492  0.0000  0.5106


Entry 25:
A relaxed ZrAl2In crystal. Source: Alexandria, functional PBE.

## Properties
- density (g/cm³) = 5.60
- DFT formation energy (meV/atom) = -347
- space group = No. 22

Cell lengths 5.4988, 5.4988, 5.4951 Å; angles 136.73, 136.74, 62.91 degrees
Positions (direct):
Al  0.9999  0.9999  0.0000
Al  0.7502  0.2502  0.5000
In  0.5000  0.5000  0.0000
Zr  0.2500  0.7500  0.5000